[1]
First-principles (PBE-GGA) data for ScAg2Pb after structural relaxation, as listed in the Alexandria database.

Cell lengths 5.104, 5.104, 5.408 Å; angles 102.74, 102.74, 39.83 degrees
Sites, in units of the cell vectors:
Sc  0.000  0.000  0.000
Ag  0.256  0.256  0.770
Ag  0.513  0.513  0.550
Pb  0.761  0.761  0.281

Calculated values
space-group type: Cm
Fermi-level density of states: 2.33 states/eV per cell
energy of formation: -0.28 eV per formula unit

***

[2]
First-principles (PBE-GGA) data for Cs2DySnTe4 after structural relaxation, as listed in the Alexandria database.

Cell lengths 16.025, 14.349, 8.791 Å; angles 84.00, 62.94, 33.06 degrees
Sites, in units of the cell vectors:
Cs  0.056  0.056  0.694
Cs  0.306  0.306  0.944
Cs  0.694  0.694  0.056
Cs  0.944  0.944  0.306
Dy  0.125  0.125  0.125
Dy  0.875  0.875  0.875
Sn  0.375  0.375  0.375
Sn  0.625  0.625  0.625
Te  0.039  0.323  0.424
Te  0.287  0.576  0.677
Te  0.323  0.039  0.713
Te  0.424  0.713  0.039
Te  0.576  0.287  0.961
Te  0.677  0.961  0.287
Te  0.713  0.424  0.323
Te  0.961  0.677  0.576

Calculated values
space-group type: Fddd
Fermi-level density of states: 11.78 states/eV per cell
energy relative to the elements, uncorrected: -6.90 eV per formula unit

***

[3]
First-principles (PBE-GGA) data for PmNd5Er after structural relaxation, as listed in the Alexandria database.

Cell lengths 8.060, 8.060, 8.060 Å; angles 136.91, 113.95, 82.16 degrees
Sites, in units of the cell vectors:
Pm  0.000  0.000  0.000
Nd  0.000  0.500  0.500
Nd  0.249  0.249  0.000
Nd  0.324  0.000  0.324
Nd  0.676  0.000  0.676
Nd  0.751  0.751  0.000
Er  0.500  0.500  0.000

Calculated values
space-group type: Immm
Fermi-level density of states: 13.17 states/eV per cell
energy of formation: 6.75 eV per formula unit

***

[4]
First-principles (PBE-GGA) data for Cu2AgGe after structural relaxation, as listed in the Alexandria database.

Cell lengths 4.047, 4.047, 3.583 Å; angles 90.00, 90.00, 90.00 degrees
Sites, in units of the cell vectors:
Cu  0.000  0.500  0.000
Cu  0.500  0.000  0.000
Ag  0.000  0.000  0.500
Ge  0.500  0.500  0.500

Calculated values
space-group type: P4/mmm
Fermi-level density of states: 1.59 states/eV per cell
energy of formation: 0.46 eV per formula unit

***

[5]
First-principles (PBE-GGA) data for SrTbBO4 after structural relaxation, as listed in the Alexandria database.

Cell lengths 5.088, 5.268, 6.830 Å; angles 90.00, 107.65, 90.00 degrees
Sites, in units of the cell vectors:
Sr  0.205  0.250  0.427
Sr  0.795  0.750  0.573
Tb  0.282  0.250  0.961
Tb  0.718  0.750  0.039
B  0.283  0.750  0.195
B  0.717  0.250  0.805
O  0.093  0.750  0.324
O  0.128  0.750  0.965
O  0.469  0.523  0.235
O  0.469  0.977  0.235
O  0.531  0.023  0.765
O  0.531  0.477  0.765
O  0.872  0.250  0.035
O  0.907  0.250  0.676

Calculated values
space-group type: P2_1/m
Fermi-level density of states: 0.00 states/eV per cell
energy relative to the elements, uncorrected: -21.19 eV per formula unit

***

[6]
First-principles (PBE-GGA) data for Pm3Nd4Y2 after structural relaxation, as listed in the Alexandria database.

Cell lengths 3.652, 3.652, 27.128 Å; angles 90.00, 90.00, 120.00 degrees
Sites, in units of the cell vectors:
Pm  0.000  0.000  0.000
Pm  0.000  0.000  0.338
Pm  0.667  0.333  0.672
Nd  0.000  0.000  0.562
Nd  0.000  0.000  0.784
Nd  0.667  0.333  0.231
Nd  0.667  0.333  0.451
Y  0.667  0.333  0.105
Y  0.667  0.333  0.891

Calculated values
space-group type: P3m1
Fermi-level density of states: 16.99 states/eV per cell
energy of formation: 0.57 eV per formula unit